1.
# CaMg2Zn9

An optimized crystal structure of CaMg2Zn9 (GGA-PBE, the Alexandria database).

Properties
Energy: -18.7 eV/cell
Total magnetization: 0.0 μB per formula unit
Energy relative to the elements: -0.1703 eV per atom
Space group: No. 166

a b c (Å): 9.079 9.079 9.079
angles (deg): 33.77 33.77 33.77
Element x y z (fractional)
Zn  0.500  0.500  0.500
Zn  0.666  0.666  0.666
Zn  0.587  0.587  0.080
Mg  0.142  0.142  0.142
Mg  0.858  0.858  0.858
Zn  0.920  0.413  0.413
Zn  0.587  0.080  0.587
Zn  0.334  0.334  0.334
Zn  0.413  0.413  0.920
Ca  0.000  0.000  0.000
Zn  0.413  0.920  0.413
Zn  0.080  0.587  0.587

2.
# CuBi2PtC

An optimized crystal structure of CuBi2PtC (GGA-PBE, the Alexandria database).

Properties
Energy: -19.0 eV/cell
Total magnetization: 1.2 μB per formula unit
Energy relative to the elements: 1.6169 eV per atom
Space group: No. 123

a b c (Å): 5.307 4.754 5.307
angles (deg): 90.00 90.00 90.00
Element x y z (fractional)
Cu  0.000  0.500  0.000
Bi  0.500  0.000  0.000
Pt  0.000  0.000  0.000
C  0.500  0.500  0.500
Bi  0.000  0.000  0.500

3.
# Dy5Ir4Pd

An optimized crystal structure of Dy5Ir4Pd (GGA-PBE, the Alexandria database).

Properties
Energy: -72.0 eV/cell
Total magnetization: 0.0 μB per formula unit
Energy relative to the elements: -0.8368 eV per atom
Space group: No. 123

a b c (Å): 3.402 3.402 17.648
angles (deg): 90.00 90.00 90.00
Element x y z (fractional)
Ir  0.000  0.000  0.201
Dy  0.500  0.500  0.698
Ir  0.000  0.000  0.799
Dy  0.500  0.500  0.500
Ir  0.000  0.000  0.599
Ir  0.000  0.000  0.401
Dy  0.500  0.500  0.105
Pd  0.000  0.000  0.000
Dy  0.500  0.500  0.302
Dy  0.500  0.500  0.895